Computed, not measured: a relaxed structure of ZnCdIr2 at the PBE level of DFT.

Lattice parameters (Å, degrees): 4.7783 4.7783 4.9231 102.02 102.02 34.76
Atoms (fractional coordinates):
1 Zn 0.0000 0.0000 0.0000
2 Cd 0.5000 0.5000 0.5000
3 Ir 0.2610 0.2610 0.7716
4 Ir 0.7390 0.7390 0.2284

Output
The total magnetization comes out at 0.000 μB per formula unit. As for the energy: -19.743 eV/cell. The volume is 15.6 Å³ per atom. Its formation energy is 0.2 eV/f.u.

=====

Computed, not measured: a relaxed structure of ZnCdIr2 at the PBE level of DFT.

Lattice parameters (Å, degrees): 4.4525 4.4525 4.4525 60.00 60.00 60.00
Atoms (fractional coordinates):
1 Zn 0.0000 0.0000 0.0000
2 Cd 0.5000 0.5000 0.5000
3 Ir 0.2500 0.2500 0.2500
4 Ir 0.7500 0.7500 0.7500

Output
The total magnetization comes out at 0.000 μB per formula unit. As for the energy: -19.156 eV/cell. The volume is 15.6 Å³ per atom. Its formation energy is 0.8 eV/f.u.

=====

Computed, not measured: a relaxed structure of ZnCdIr2 at the PBE level of DFT.

Lattice parameters (Å, degrees): 4.4793 4.4793 4.4793 60.00 60.00 60.00
Atoms (fractional coordinates):
1 Zn 0.0000 0.0000 0.0000
2 Cd 0.2500 0.2500 0.2500
3 Ir 0.5000 0.5000 0.5000
4 Ir 0.7500 0.7500 0.7500

Output
The total magnetization comes out at 1.247 μB per formula unit. As for the energy: -18.890 eV/cell. The volume is 15.9 Å³ per atom. Its formation energy is 1.0 eV/f.u.

=====

Question: energy of number 2 (ZnCdIr2)?
Answer: -19.156 eV/cell